Pr4Sm5Tl after structural relaxation, computed with PBE.

Values from the calculation:
- total magnetization (μB per formula unit) = 0.00
- electronic total energy (eV per atom) = -4.566
- energy of formation (eV per atom) = -0.058
- mass density (g cm⁻³) = 7.43
- N(E_F) (states/eV per atom) = 1.496

Unit cell a=3.689 b=3.689 c=24.948 alpha=90.00 beta=90.00 gamma=90.00
Element x y z (fractional)
Pr1 0.000 0.000 0.812
Sm1 0.500 0.500 0.500
Pr2 0.000 0.000 0.188
Sm2 0.500 0.500 0.293
Pr3 0.000 0.000 0.604
Sm3 0.500 0.500 0.707
Pr4 0.000 0.000 0.396
Sm4 0.500 0.500 0.085
Tl1 0.000 0.000 0.000
Sm5 0.500 0.500 0.915